Compound: CeIn4PbS8
Source: Alexandria
Functional: GGA-PBE
Structure: relaxed

Lattice parameters (Å, degrees): 8.2968 8.2968 8.2968 57.33 57.33 57.33
Sites, in units of the cell vectors:
Ce 0.0000 0.0000 0.0000
In 0.0008 0.0008 0.5016
In 0.0008 0.5016 0.0008
In 0.5016 0.0008 0.0008
In 0.6294 0.6294 0.6294
Pb 0.3719 0.3719 0.3719
S 0.2233 0.7528 0.7528
S 0.2301 0.2301 0.2301
S 0.2446 0.2446 0.7913
S 0.2446 0.7913 0.2446
S 0.7528 0.2233 0.7528
S 0.7528 0.7528 0.2233
S 0.7677 0.7677 0.7677
S 0.7913 0.2446 0.2446

Summary:
The space group is R3m, No. 160. Its density of states at the Fermi level is 0.489 states/eV/atom. The mass density comes out at 4.658 g/cm3. As for the formation energy (no corrections): -973 kJ/mol of formula units. The uncorrected energy comes out at -4.550 eV per atom.